# Te2HAu (SCAN, single point on PBEsol structure)
# **Distance to the lowest polymorph of the same formula**: 0.0 kJ/mol of atoms
data_Te2HAu
_chemical_formula_sum 'Te4 H2 Au2'
_space_group_name_H-M_alt 'P 1'
_space_group_IT_number 1
_space_group_name_Hall 'P 1'
_cell_length_a 6.5480
_cell_length_b 6.5480
_cell_length_c 6.5480
_cell_angle_alpha 127.04
_cell_angle_beta 127.04
_cell_angle_gamma 78.18
loop_
_atom_site_label
_atom_site_type_symbol
_atom_site_fract_x
_atom_site_fract_y
_atom_site_fract_z
Te1 Te 0.0590 0.1250 0.4340
Te2 Te 0.3750 0.9410 0.0660
Te3 Te 0.6910 0.6250 0.5660
Te4 Te 0.8750 0.3090 0.9340
H1 H 0.0000 0.0000 0.0000
H2 H 0.7500 0.2500 0.5000
Au1 Au 0.2500 0.7500 0.5000
Au2 Au 0.5000 0.5000 0.0000

# CaCo2As2 (SCAN, single point on PBEsol structure)
# **Energy relative to the elements**: -615 meV/atom
data_CaCo2As2
_chemical_formula_sum 'Ca1 Co2 As2'
_space_group_name_H-M_alt 'P 1'
_space_group_IT_number 1
_space_group_name_Hall 'P 1'
_cell_length_a 5.7638
_cell_length_b 5.7638
_cell_length_c 5.7638
_cell_angle_alpha 139.89
_cell_angle_beta 139.89
_cell_angle_gamma 58.02
loop_
_atom_site_label
_atom_site_type_symbol
_atom_site_fract_x
_atom_site_fract_y
_atom_site_fract_z
Ca1 Ca 0.0000 0.0000 0.0000
Co1 Co 0.2500 0.7500 0.5000
Co2 Co 0.7500 0.2500 0.5000
As1 As 0.3664 0.3664 0.0000
As2 As 0.6336 0.6336 0.0000

# SrIn2S2 (SCAN, single point on PBEsol structure)
# **Uncorrected formation energy**: -726 meV per atom
data_SrIn2S2
_chemical_formula_sum 'Sr1 In2 S2'
_space_group_name_H-M_alt 'P 1'
_space_group_IT_number 1
_space_group_name_Hall 'P 1'
_cell_length_a 5.8849
_cell_length_b 5.8849
_cell_length_c 5.8849
_cell_angle_alpha 127.05
_cell_angle_beta 127.05
_cell_angle_gamma 78.16
loop_
_atom_site_label
_atom_site_type_symbol
_atom_site_fract_x
_atom_site_fract_y
_atom_site_fract_z
Sr1 Sr 0.0000 0.0000 0.0000
In1 In 0.3460 0.3460 0.0000
In2 In 0.6540 0.6540 0.0000
S1 S 0.2500 0.7500 0.5000
S2 S 0.7500 0.2500 0.5000